(1)
# AgHPd3 (PBE, relaxed)
# **Energy**: -21.23 eV/f.u.
data_AgHPd3
_symmetry_space_group_name_H-M 'P 1'
_symmetry_Int_Tables_number 1
_symmetry_space_group_name_Hall 'P 1'
_cell_length_a 5.333
_cell_length_b 5.333
_cell_length_c 6.280
_cell_angle_alpha 64.87
_cell_angle_beta 64.87
_cell_angle_gamma 90.00
loop_
_atom_site_label
_atom_site_type_symbol
_atom_site_fract_x
_atom_site_fract_y
_atom_site_fract_z
H1 H 0.000 0.000 0.000
H2 H 0.250 0.750 0.500
Pd1 Pd 0.127 0.376 0.745
Pd2 Pd 0.631 0.631 0.738
Pd3 Pd 0.127 0.878 0.745
Pd4 Pd 0.369 0.369 0.262
Pd5 Pd 0.624 0.873 0.255
Pd6 Pd 0.122 0.873 0.255
Ag1 Ag 0.615 0.115 0.769
Ag2 Ag 0.885 0.385 0.231



(2)
# KNaCd3 (PBE, relaxed)
# **Formation energy from the elements**: -0.05 eV/atom
data_KNaCd3
_symmetry_space_group_name_H-M 'P 1'
_symmetry_Int_Tables_number 1
_symmetry_space_group_name_Hall 'P 1'
_cell_length_a 6.031
_cell_length_b 8.304
_cell_length_c 12.131
_cell_angle_alpha 90.00
_cell_angle_beta 90.00
_cell_angle_gamma 90.00
loop_
_atom_site_label
_atom_site_type_symbol
_atom_site_fract_x
_atom_site_fract_y
_atom_site_fract_z
Cd1 Cd 0.997 0.250 0.695
Cd2 Cd 0.503 0.750 0.195
Cd3 Cd 0.249 0.568 0.749
Cd4 Cd 0.249 0.932 0.749
Cd5 Cd 0.497 0.250 0.805
Cd6 Cd 0.003 0.750 0.305
Cd7 Cd 0.749 0.568 0.751
Cd8 Cd 0.251 0.432 0.249
Cd9 Cd 0.751 0.432 0.251
Cd10 Cd 0.751 0.068 0.251
Cd11 Cd 0.251 0.068 0.249
Cd12 Cd 0.749 0.932 0.751
K1 K 0.499 0.250 0.511
K2 K 0.501 0.750 0.489
K3 K 0.999 0.250 0.989
K4 K 0.001 0.750 0.011
Na1 Na 0.500 0.000 0.000
Na2 Na 0.500 0.500 0.000
Na3 Na 0.000 0.000 0.500
Na4 Na 0.000 0.500 0.500



(3)
# Sr2BeGePd6 (PBE, relaxed)
# **Formation energy from the elements**: -0.58 eV/atom
data_Sr2BeGePd6
_symmetry_space_group_name_H-M 'P 1'
_symmetry_Int_Tables_number 1
_symmetry_space_group_name_Hall 'P 1'
_cell_length_a 6.191
_cell_length_b 6.905
_cell_length_c 6.908
_cell_angle_alpha 53.36
_cell_angle_beta 63.38
_cell_angle_gamma 90.00
loop_
_atom_site_label
_atom_site_type_symbol
_atom_site_fract_x
_atom_site_fract_y
_atom_site_fract_z
Pd1 Pd 0.261 0.742 0.933
Pd2 Pd 0.807 0.742 0.933
Pd3 Pd 0.741 0.804 0.519
Pd4 Pd 0.193 0.258 0.067
Pd5 Pd 0.739 0.258 0.067
Pd6 Pd 0.259 0.196 0.481
Sr1 Sr 0.276 0.723 0.448
Sr2 Sr 0.724 0.277 0.552
Be1 Be 0.500 0.500 0.000
Ge1 Ge 0.000 0.000 0.000



(4)
# USiSe (PBE, relaxed)
# **Uncorrected formation energy**: -766 meV per atom
data_USiSe
_symmetry_space_group_name_H-M 'P 1'
_symmetry_Int_Tables_number 1
_symmetry_space_group_name_Hall 'P 1'
_cell_length_a 8.686
_cell_length_b 8.686
_cell_length_c 8.686
_cell_angle_alpha 154.15
_cell_angle_beta 154.15
_cell_angle_gamma 36.88
loop_
_atom_site_label
_atom_site_type_symbol
_atom_site_fract_x
_atom_site_fract_y
_atom_site_fract_z
Se1 Se 0.317 0.317 0.000
Se2 Se 0.683 0.683 0.000
U1 U 0.868 0.868 0.000
U2 U 0.132 0.132 0.000
Si1 Si 0.000 0.500 0.500
Si2 Si 0.500 0.000 0.500



(5)
# SmErSnPd (PBE, relaxed)
# **Formation energy from the elements**: -0.72 eV/atom
data_SmErSnPd
_symmetry_space_group_name_H-M 'P 1'
_symmetry_Int_Tables_number 1
_symmetry_space_group_name_Hall 'P 1'
_cell_length_a 5.191
_cell_length_b 5.191
_cell_length_c 5.191
_cell_angle_alpha 60.00
_cell_angle_beta 60.00
_cell_angle_gamma 60.00
loop_
_atom_site_label
_atom_site_type_symbol
_atom_site_fract_x
_atom_site_fract_y
_atom_site_fract_z
Sn1 Sn 0.250 0.250 0.250
Pd1 Pd 0.750 0.750 0.750
Sm1 Sm 0.000 0.000 0.000
Er1 Er 0.500 0.500 0.500



(6)
# K3Er3TcO8 (PBE, relaxed)
# **Uncorrected formation energy**: -2524 meV per atom
data_K3Er3TcO8
_symmetry_space_group_name_H-M 'P 1'
_symmetry_Int_Tables_number 1
_symmetry_space_group_name_Hall 'P 1'
_cell_length_a 6.714
_cell_length_b 6.714
_cell_length_c 7.382
_cell_angle_alpha 117.06
_cell_angle_beta 90.00
_cell_angle_gamma 120.00
loop_
_atom_site_label
_atom_site_type_symbol
_atom_site_fract_x
_atom_site_fract_y
_atom_site_fract_z
O1 O 0.748 0.961 0.673
O2 O 0.788 0.575 0.327
O3 O 0.788 0.039 0.327
O4 O 0.273 0.546 0.319
O5 O 0.252 0.039 0.327
O6 O 0.212 0.425 0.673
O7 O 0.727 0.454 0.681
O8 O 0.212 0.961 0.673
Er1 Er 0.000 0.500 0.500
Er2 Er 0.500 0.000 0.500
Er3 Er 0.500 0.500 0.500
K1 K 0.000 0.500 0.000
K2 K 0.500 0.500 0.000
K3 K 0.000 0.000 0.000
Tc1 Tc 0.000 0.000 0.500



(7)
# Dy2Ho3Th2 (PBE, relaxed)
# **Formation energy from the elements**: 0.14 eV/atom
data_Dy2Ho3Th2
_symmetry_space_group_name_H-M 'P 1'
_symmetry_Int_Tables_number 1
_symmetry_space_group_name_Hall 'P 1'
_cell_length_a 3.436
_cell_length_b 8.550
_cell_length_c 8.908
_cell_angle_alpha 119.04
_cell_angle_beta 101.12
_cell_angle_gamma 90.00
loop_
_atom_site_label
_atom_site_type_symbol
_atom_site_fract_x
_atom_site_fract_y
_atom_site_fract_z
Ho1 Ho 0.000 0.500 0.000
Ho2 Ho 0.215 0.800 0.431
Ho3 Ho 0.785 0.200 0.569
Th1 Th 0.848 0.655 0.697
Th2 Th 0.152 0.345 0.303
Dy1 Dy 0.437 0.094 0.873
Dy2 Dy 0.563 0.906 0.127



(8)
# Cd3IrF (PBE, relaxed)
# **Uncorrected formation energy**: 58 meV per atom
data_Cd3IrF
_symmetry_space_group_name_H-M 'P 1'
_symmetry_Int_Tables_number 1
_symmetry_space_group_name_Hall 'P 1'
_cell_length_a 5.198
_cell_length_b 5.198
_cell_length_c 5.198
_cell_angle_alpha 90.00
_cell_angle_beta 90.00
_cell_angle_gamma 90.00
loop_
_atom_site_label
_atom_site_type_symbol
_atom_site_fract_x
_atom_site_fract_y
_atom_site_fract_z
Cd1 Cd 0.000 0.000 0.500
Cd2 Cd 0.000 0.500 0.000
Cd3 Cd 0.500 0.000 0.000
F1 F 0.500 0.500 0.500
Ir1 Ir 0.000 0.000 0.000